The following is a DFT calculation (PBE-GGA) of a relaxed Ti2PS crystal.

Geometry as extended XYZ:
```
8
Lattice="-3.824 -2.819 -2.753 -1.986 -1.934 4.740 -6.310 1.922 1.321" Properties=species:S:1:pos:R:3 pbc="T T T"
P -2.905 -2.377 0.993
P -5.601 -1.194 3.527
S 0.000 0.000 0.000
S -6.520 -1.637 -0.219
Ti -4.221 -1.527 -0.802
Ti -3.292 -1.077 2.952
Ti -6.908 -0.338 1.729
Ti -9.819 -2.720 2.736
```

Calculated values
**Symmetry**: I-42d (122)
**Energy relative to the elements, uncorrected**: -0.741 eV per atom


The following is a DFT calculation (PBE-GGA) of a relaxed Pr4AgRh crystal.

Geometry as extended XYZ:
```
24
Lattice="-2.839 -4.587 8.347 -0.019 -9.928 0.455 6.711 -4.731 5.600" Properties=species:S:1:pos:R:3 pbc="T T T"
Pr 1.537 -7.678 5.745
Pr 0.390 -9.532 9.120
Pr 1.530 -11.691 5.929
Pr 4.250 -9.590 8.009
Pr 4.709 -12.574 10.193
Pr 1.071 -16.294 11.410
Pr 2.151 -14.550 8.237
Pr 3.630 -14.318 13.366
Pr 1.079 -12.520 11.237
Pr 4.702 -16.348 10.365
Pr 4.921 -6.561 6.199
Pr -1.068 -12.685 8.203
Pr 0.709 -9.814 2.978
Pr 3.144 -9.432 11.423
Pr -1.056 -6.471 7.918
Pr 4.910 -12.775 6.483
Ag 0.652 -3.255 2.436
Ag -0.266 -4.739 5.136
Ag 0.646 -6.466 2.583
Ag 2.822 -4.785 4.247
Rh 2.341 -11.694 8.751
Rh 3.564 -9.719 5.158
Rh 2.350 -7.420 8.555
Rh -0.547 -9.657 6.340
```

Calculated values
**Symmetry**: F-43m (216)
**E_form**: -2.2 eV/f.u.


What are the size of the total moment values for these records? In order: 0.00 0.00 μB/cell.